Entry 1:
# TaTi2Sn | the Alexandria database | PBE-GGA | optimized geometry
# Total DFT energy (no corrections) ... -8.141 eV per atom
# N(E_F) ... 4.727 states/eV/f.u.
# Calculated formation energy ... -230 meV per atom
data_TaTi2Sn
_symmetry_space_group_name_H-M 'P 4/m m m'
_symmetry_Int_Tables_number 123
_symmetry_space_group_name_Hall '-P 4 2'
_cell_length_a 4.4577
_cell_length_b 4.4577
_cell_length_c 3.6153
_cell_angle_alpha 90.00
_cell_angle_beta 90.00
_cell_angle_gamma 90.00
loop_
_atom_site_label
_atom_site_type_symbol
_atom_site_fract_x
_atom_site_fract_y
_atom_site_fract_z
Ta1 Ta 0.0000 0.0000 0.0000
Ti1 Ti 0.0000 0.5000 0.5000
Sn1 Sn 0.5000 0.5000 0.0000

=====

Entry 2:
# TaTi6Sn | the Alexandria database | PBE-GGA | optimized geometry
# Total DFT energy (no corrections) ... -7.974 eV per atom
# N(E_F) ... 9.269 states/eV/f.u.
# Calculated formation energy ... -71 meV per atom
data_TaTi6Sn
_symmetry_space_group_name_H-M 'A m m 2'
_symmetry_Int_Tables_number 38
_cell_length_a 4.7344
_cell_length_b 5.9822
_cell_length_c 10.0636
_cell_angle_alpha 90.00
_cell_angle_beta 90.00
_cell_angle_gamma 90.00
loop_
_symmetry_equiv_pos_as_xyz
'x,y,z'
'-x,-y,z'
'-x,y,z'
'x,-y,z'
'x,y+1/2,z+1/2'
'-x,-y+1/2,z+1/2'
'-x,y+1/2,z+1/2'
'x,-y+1/2,z+1/2'
loop_
_atom_site_label
_atom_site_type_symbol
_atom_site_fract_x
_atom_site_fract_y
_atom_site_fract_z
Ta1 Ta 0.0000 0.0000 0.0000
Ti1 Ti 0.0000 0.0000 0.5092
Ti2 Ti 0.0000 0.2456 0.7554
Ti3 Ti 0.5000 0.0000 0.8260
Ti4 Ti 0.5000 0.2467 0.0753
Sn1 Sn 0.5000 0.0000 0.3285

=====

Entry 3:
# TaTi2Sn | the Alexandria database | PBE-GGA | optimized geometry
# Total DFT energy (no corrections) ... -7.876 eV per atom
# N(E_F) ... 4.341 states/eV/f.u.
# Calculated formation energy ... 35 meV per atom
data_TaTi2Sn
_symmetry_space_group_name_H-M 'R 3 m'
_symmetry_Int_Tables_number 160
_symmetry_space_group_name_Hall 'R 3 -2"'
_cell_length_a 3.0721
_cell_length_b 3.0721
_cell_length_c 28.0420
_cell_angle_alpha 90.00
_cell_angle_beta 90.00
_cell_angle_gamma 120.00
loop_
_atom_site_label
_atom_site_type_symbol
_atom_site_fract_x
_atom_site_fract_y
_atom_site_fract_z
Ta1 Ta 0.0000 0.0000 0.0000
Ti1 Ti 0.0000 0.0000 0.2528
Ti2 Ti 0.0000 0.0000 0.4139
Sn1 Sn 0.0000 0.0000 0.8333